Entry from OQMD: Th5Tc2Au2 after structural relaxation (PBE-GGA).

Structure (POSCAR):
```
Th5Tc2Au2
1.0
7.734 -3.914 0.000
7.734 3.914 0.000
0.000 0.000 7.808
Th Tc Au
10 4 4
Cartesian
0.000 0.000 3.904
5.801 -2.593 1.286
5.801 -1.322 5.190
9.667 2.593 6.522
9.667 -1.322 5.190
7.734 0.000 0.000
9.667 -2.593 1.286
9.667 1.322 2.618
5.801 2.593 6.522
5.801 1.322 2.618
7.734 -1.085 2.820
7.734 -2.830 6.724
7.734 2.830 1.084
7.734 1.085 4.988
4.446 0.000 0.000
12.180 0.000 3.904
3.288 0.000 3.904
11.022 0.000 0.000
```

Output
E_form: -3.57 eV/f.u.

Entry from OQMD: Al2TcNi after structural relaxation (PBE-GGA).

Structure (POSCAR):
```
Al2TcNi
1.0
-3.779 -0.373 1.916
-1.792 3.387 1.846
-3.448 1.791 -1.732
Ni Al Tc
1 2 1
Cartesian
-4.510 2.402 1.015
-6.764 3.604 1.523
0.000 0.000 0.000
-2.255 1.201 0.508
```

Output
Final energy: -6.010 eV/atom

Entry from OQMD: TlFeMoIr after structural relaxation (PBE-GGA).

Structure (POSCAR):
```
TlFeMoIr
1.0
-4.393 -0.233 0.941
-2.567 3.681 -0.319
-3.031 0.349 -3.307
Tl Fe Mo Ir
1 1 1 1
Cartesian
0.000 0.000 0.000
-7.493 2.848 -2.014
-4.995 1.899 -1.342
-2.498 0.949 -0.671
```

Output
Final energy: -7.110 eV/atom

Entry from OQMD: TbTa after structural relaxation (PBE-GGA).

Structure (POSCAR):
```
TbTa
1.0
-3.662 -1.967 -0.473
-3.475 1.616 1.679
-2.951 1.639 -2.472
Tb Ta
1 1
Cartesian
-5.044 0.644 -0.632
0.000 0.000 0.000
```

Output
E_form: 3.05 eV/f.u.

Entry from OQMD: SmErAg2Pb2 after structural relaxation (PBE-GGA).

Structure (POSCAR):
```
SmErAg2Pb2
1.0
-4.615 -0.807 1.129
2.945 -3.708 -0.895
1.826 -0.300 7.249
Pb Er Sm Ag
2 1 1 2
Cartesian
0.914 -2.821 1.723
-0.681 -2.006 6.071
1.812 -0.297 7.195
0.897 -0.147 3.562
-1.777 -1.826 1.715
1.676 -2.946 4.747
```

Output
Final energy: -4.138 eV/atom

Entry from OQMD: CdGaBi after structural relaxation (PBE-GGA).

Structure (POSCAR):
```
CdGaBi
1.0
0.000 3.462 3.462
3.462 0.000 3.462
3.462 3.462 0.000
Bi Ga Cd
1 1 1
Cartesian
1.731 1.731 1.731
0.000 0.000 0.000
5.192 5.192 5.192
```

Output
Final energy: -2.574 eV/atom

Entry from OQMD: HoTmCu2Si4 after structural relaxation (PBE-GGA).

Structure (POSCAR):
```
HoTmCu2Si4
1.0
-1.932 -0.478 -3.426
-7.173 -2.196 4.352
-7.502 1.738 3.989
Cu Si Ho Tm
2 4 1 1
Cartesian
-13.133 -0.619 5.203
-2.506 -0.078 1.424
-0.536 -0.017 0.305
-15.114 -0.680 6.329
-10.997 -0.343 6.251
-4.635 -0.353 0.373
-5.856 -0.183 3.328
-9.787 -0.514 3.301
```

Output
Final energy: -5.319 eV/atom

Entry from OQMD: AlReTcAu after structural relaxation (PBE-GGA).

Structure (POSCAR):
```
AlReTcAu
1.0
0.000 3.133 3.133
3.133 0.000 3.133
3.133 3.133 0.000
Al Tc Re Au
1 1 1 1
Cartesian
3.133 3.133 3.133
0.000 0.000 0.000
1.567 1.567 1.567
4.700 4.700 4.700
```

Output
Final energy: -7.282 eV/atom

Entry from OQMD: PbAu after structural relaxation (PBE-GGA).

Structure (POSCAR):
```
PbAu
1.0
2.134 -5.578 0.000
2.134 5.578 0.000
0.000 0.000 4.155
Au Pb
2 2
Cartesian
2.134 1.012 1.039
2.134 -1.012 3.116
2.134 3.973 1.039
2.134 -3.973 3.116
```

Output
Final energy: -3.579 eV/atom

Entry from OQMD: ErZr2ScSb2 after structural relaxation (PBE-GGA).

Structure (POSCAR):
```
ErZr2ScSb2
1.0
-2.108 2.108 8.113
2.108 -2.108 8.113
2.108 2.108 -8.113
Sb Sc Zr Er
2 1 2 1
Cartesian
0.000 0.000 2.231
0.000 0.000 13.988
0.000 0.000 10.941
0.000 2.108 0.022
2.108 0.000 0.022
0.000 0.000 5.249
```

Output
Final energy: -6.790 eV/atom

Entry from OQMD: AlP6Os after structural relaxation (PBE-GGA).

Structure (POSCAR):
```
AlP6Os
1.0
0.000 4.158 4.158
4.158 0.000 4.158
4.158 4.158 0.000
P Al Os
6 1 1
Cartesian
4.158 4.158 5.954
5.954 4.158 4.158
2.362 4.158 4.158
4.158 4.158 2.362
4.158 2.362 4.158
4.158 5.954 4.158
2.079 2.079 2.079
0.000 0.000 0.000
```

Output
Final energy: -5.415 eV/atom

Entry from OQMD: SrPr after structural relaxation (PBE-GGA).

Structure (POSCAR):
```
SrPr
1.0
-2.662 0.558 5.700
-2.746 -3.563 -4.432
3.098 -4.770 1.914
Sr Pr
2 2
Cartesian
-0.366 -4.393 3.758
-1.944 -3.382 -0.577
0.000 0.000 0.000
1.549 -2.385 0.957
```

Output
Final energy: -2.639 eV/atom

Entry from OQMD: CsDyCu after structural relaxation (PBE-GGA).

Structure (POSCAR):
```
CsDyCu
1.0
0.000 3.780 3.780
3.780 0.000 3.780
3.780 3.780 0.000
Cu Dy Cs
1 1 1
Cartesian
0.000 0.000 0.000
5.671 5.671 5.671
1.890 1.890 1.890
```

Output
Final energy: -2.251 eV/atom

Entry from OQMD: PaAlPb after structural relaxation (PBE-GGA).

Structure (POSCAR):
```
PaAlPb
1.0
0.000 3.441 3.441
3.441 0.000 3.441
3.441 3.441 0.000
Al Pa Pb
1 1 1
Cartesian
0.000 0.000 0.000
1.721 1.721 1.721
5.162 5.162 5.162
```

Output
Final energy: -5.227 eV/atom

Entry from OQMD: La2Sm after structural relaxation (PBE-GGA).

Structure (POSCAR):
```
La2Sm
1.0
0.000 6.456 6.456
6.456 0.000 6.456
6.456 6.456 0.000
Sm La
2 4
Cartesian
3.228 3.228 3.228
0.000 0.000 0.000
1.614 1.614 1.614
4.842 4.842 1.614
4.842 1.614 4.842
1.614 4.842 4.842
```

Output
E_form: 5.38 eV/f.u.

Entry from OQMD: AgSnPt2 after structural relaxation (PBE-GGA).

Structure (POSCAR):
```
AgSnPt2
1.0
-4.443 -0.738 -1.031
-3.303 2.404 2.159
-2.401 3.208 -2.301
Sn Ag Pt
1 1 2
Cartesian
-5.073 2.437 -0.586
-2.537 1.218 -0.293
-7.610 3.655 -0.880
0.000 0.000 0.000
```

Output
Final energy: -4.860 eV/atom

Entry from OQMD: LaGaIr after structural relaxation (PBE-GGA).

Structure (POSCAR):
```
LaGaIr
1.0
0.000 3.401 3.401
3.401 0.000 3.401
3.401 3.401 0.000
Ir Ga La
1 1 1
Cartesian
5.101 5.101 5.101
1.700 1.700 1.700
0.000 0.000 0.000
```

Output
Final energy: -5.409 eV/atom

Entry from OQMD: InAgW2 after structural relaxation (PBE-GGA).

Structure (POSCAR):
```
InAgW2
1.0
1.357 -1.316 4.230
1.566 3.150 3.015
-2.545 1.127 3.704
W Ag In
2 1 1
Cartesian
0.000 0.000 0.000
0.284 2.221 8.212
0.095 0.740 2.737
0.189 1.481 5.475
```

Output
Final energy: -7.168 eV/atom

Entry from OQMD: SrCdGe2Pd after structural relaxation (PBE-GGA).

Structure (POSCAR):
```
SrCdGe2Pd
1.0
4.479 0.000 0.000
0.000 4.479 0.000
0.000 0.000 11.071
Ge Cd Sr Pd
4 2 2 2
Cartesian
0.000 2.240 9.314
2.240 0.000 1.758
2.240 2.240 5.536
0.000 0.000 5.536
2.240 2.240 0.000
0.000 0.000 0.000
0.000 2.240 2.921
2.240 0.000 8.151
2.240 0.000 4.253
0.000 2.240 6.818
```

Output
Final energy: -3.948 eV/atom

Entry from OQMD: Zr4B3 after structural relaxation (PBE-GGA).

Structure (POSCAR):
```
Zr4B3
1.0
5.767 6.659 0.000
-2.883 8.324 0.000
0.000 0.000 3.280
Zr B
8 6
Cartesian
2.752 10.573 0.000
-1.882 8.750 0.000
1.922 13.318 1.640
-0.091 10.999 1.640
2.014 5.648 0.000
-0.830 6.074 1.640
0.000 3.329 0.000
3.805 7.898 1.640
2.011 8.163 0.000
-0.089 8.485 1.640
1.347 7.334 1.640
0.297 7.495 0.000
1.626 9.153 1.640
0.576 9.314 0.000
```

Output
Final energy: -8.018 eV/atom

Entry from OQMD: GeAsPdO after structural relaxation (PBE-GGA).

Structure (POSCAR):
```
GeAsPdO
1.0
4.201 0.000 0.000
0.000 4.201 0.000
0.000 0.000 7.868
O As Ge Pd
2 2 2 2
Cartesian
1.050 3.151 0.000
3.151 1.050 0.000
3.151 3.151 2.376
1.050 1.050 5.492
3.151 1.050 3.934
1.050 3.151 3.934
3.151 3.151 7.428
1.050 1.050 0.440
```

Output
Final energy: -4.774 eV/atom

Entry from OQMD: KPdS2O8 after structural relaxation (PBE-GGA).

Structure (POSCAR):
```
KPdS2O8
1.0
-1.227 -3.104 -3.336
1.760 -1.521 4.106
-7.331 -0.343 3.016
O Pd S K
8 1 2 1
Cartesian
-5.253 -1.413 0.916
-1.545 -3.555 2.870
0.097 -2.080 1.900
-4.565 -3.263 2.378
-6.894 -2.888 1.886
-1.334 -1.233 3.645
-5.463 -3.735 0.141
-2.233 -1.705 1.408
-3.665 -0.171 1.508
-5.548 -2.825 1.332
-1.250 -2.143 2.454
0.000 0.000 0.000
```

Output
Final energy: -5.707 eV/atom

Entry from OQMD: Rb2ScAgF6 after structural relaxation (PBE-GGA).

Structure (POSCAR):
```
Rb2ScAgF6
1.0
3.060 1.767 4.805
-3.060 1.767 4.805
0.000 -3.533 4.805
F Sc Rb Ag
6 1 2 1
Cartesian
-0.338 1.934 8.466
0.338 -1.935 5.943
1.844 -0.674 8.466
-1.845 0.674 5.943
-1.506 -1.260 8.466
1.506 1.261 5.943
0.000 0.000 14.411
0.000 0.000 3.626
0.000 0.000 10.783
0.000 0.000 7.203
```

Output
Final energy: -5.120 eV/atom

Entry from OQMD: GaFeCuPd after structural relaxation (PBE-GGA).

Structure (POSCAR):
```
GaFeCuPd
1.0
3.927 -0.810 -1.451
2.323 -3.114 1.759
0.769 -3.580 -2.185
Pd Fe Cu Ga
1 1 1 1
Cartesian
1.755 -1.876 -0.469
3.509 -3.752 -0.938
5.264 -5.628 -1.408
0.000 0.000 0.000
```

Output
Final energy: -5.196 eV/atom

Entry from OQMD: HgPbSeO after structural relaxation (PBE-GGA).

Structure (POSCAR):
```
HgPbSeO
1.0
-3.263 2.415 -0.444
0.701 -2.999 -2.682
-7.090 -8.227 7.345
O Se Hg Pb
2 2 2 2
Cartesian
-5.860 -6.799 6.071
-2.314 -2.686 2.398
-4.842 -6.092 2.437
-2.618 -0.174 -0.490
-3.521 -4.086 3.648
-7.066 -8.199 7.321
-2.529 -3.409 0.041
-7.396 -5.718 4.460
```

Output
Final energy: -3.638 eV/atom

Entry from OQMD: ZrSiAs2 after structural relaxation (PBE-GGA).

Structure (POSCAR):
```
ZrSiAs2
1.0
0.641 -4.503 -1.341
-3.170 -3.310 1.216
-2.814 -1.914 -3.302
As Zr Si
2 1 1
Cartesian
-1.336 -2.432 -0.857
0.000 0.000 0.000
-2.672 -4.864 -1.714
-4.008 -7.296 -2.571
```

Output
Final energy: -5.681 eV/atom

Entry from OQMD: ZrPb after structural relaxation (PBE-GGA).

Structure (POSCAR):
```
ZrPb
1.0
5.651 0.000 0.000
0.000 6.184 0.000
0.000 0.000 5.650
Zr Pb
4 4
Cartesian
2.367 1.532 0.000
2.342 0.014 2.825
5.192 0.014 0.000
5.168 1.532 2.825
2.370 4.740 0.000
5.165 4.740 2.825
2.339 2.989 2.825
5.196 2.989 0.000
```

Output
Final energy: -6.219 eV/atom